First-principles (PBE+U) data for a relaxed SrAc4Mn3O12 crystal, as listed in Alexandria.

Cell: 8.7547 8.7547 8.7547 Å, 90.00 90.00 90.00°
Last column: nearest neighbours and their distance in Å.
Space group Im-3 (No. 204)
Asymmetric unit:
Sr 0.0000 0.0000 0.0000 (multiplicity 2)  12 O 3.19
Ac 0.2500 0.2500 0.2500 (multiplicity 8)  6 O 2.48
Mn 0.0000 0.0000 0.5000 (multiplicity 6)  4 O 1.95
O 0.0000 0.3336 0.1473 (multiplicity 24)  1 Mn 1.95

Summary:
DOS at the Fermi energy ... 27.0 states/eV/cell
Final energy ... -7.378 eV per atom
Volume ... 16.78 A^3/atom

First-principles (PBE+U) data for a relaxed SrAcMn2O8 crystal, as listed in Alexandria.

Cell: 5.7558 5.7558 7.6460 Å, 90.00 90.00 120.00°
Last column: nearest neighbours and their distance in Å.
Space group P-3m1 (No. 164)
Asymmetric unit:
Sr 0.0000 0.0000 0.0000 (multiplicity 1)  6 O 2.66
Ac 0.0000 0.0000 0.5000 (multiplicity 1)  6 O 2.47
Mn 0.3333 0.6667 0.8070 (multiplicity 2)  4 O 1.64-1.71
O 0.1713 0.3426 0.7333 (multiplicity 6)  1 Mn 1.71
O 0.3333 0.6667 0.0215 (multiplicity 2)  1 Mn 1.64

Summary:
DOS at the Fermi energy ... 8.3 states/eV/cell
Final energy ... -6.769 eV per atom
Volume ... 18.28 A^3/atom

First-principles (PBE+U) data for a relaxed Ac2TaMnO6 crystal, as listed in Alexandria.

Cell: 5.7197 5.7197 4.1553 Å, 90.00 90.00 90.00°
Last column: nearest neighbours and their distance in Å.
Space group P4/mmm (No. 123)
Asymmetric unit:
Ac 0.0000 0.5000 0.0000 (multiplicity 2)  12 O 2.86-2.90
Ta 0.0000 0.0000 0.5000 (multiplicity 1)  6 O 2.01-2.08
Mn 0.5000 0.5000 0.5000 (multiplicity 1)  6 O 2.04-2.08
O 0.0000 0.0000 0.0000 (multiplicity 1)  2 Ta 2.08
O 0.2479 0.2479 0.5000 (multiplicity 4)  1 Ta 2.01, 1 Mn 2.04
O 0.5000 0.5000 0.0000 (multiplicity 1)  2 Mn 2.08

Summary:
DOS at the Fermi energy ... 1.4 states/eV/cell
Final energy ... -8.290 eV per atom
Volume ... 13.59 A^3/atom

First-principles (PBE+U) data for a relaxed AcMn2TcO8 crystal, as listed in Alexandria.

Cell: 4.7020 4.7056 7.2257 Å, 86.33 86.49 86.89°
Last column: nearest neighbours and their distance in Å.
Space group P-1 (No. 2)
Asymmetric unit:
Ac 0.0000 0.0000 0.0000 (multiplicity 1)  6 O 2.33-2.55
Mn 0.4933 0.4931 0.7096 (multiplicity 2)  4 O 1.86-1.99
Tc 0.0000 0.0000 0.5000 (multiplicity 1)  6 O 1.92
O 0.1960 0.7949 0.6969 (multiplicity 2)  1 Tc 1.92, 1 Mn 1.94
O 0.2027 0.8020 0.3040 (multiplicity 2)  1 Tc 1.92, 1 Mn 1.94
O 0.2827 0.2803 0.4850 (multiplicity 2)  1 Tc 1.92, 1 Mn 1.99
O 0.3432 0.3388 0.9364 (multiplicity 2)  1 Mn 1.86

Summary:
DOS at the Fermi energy ... 1.5 states/eV/cell
Final energy ... -7.462 eV per atom
Volume ... 13.25 A^3/atom

First-principles (PBE+U) data for a relaxed AcMnTe2O8 crystal, as listed in Alexandria.

Cell: 7.5624 7.5624 7.0025 Å, 90.00 90.00 90.00°
Last column: nearest neighbours and their distance in Å.
Space group I-4m2 (No. 119)
Asymmetric unit:
Ac 0.0000 0.0000 0.0000 (multiplicity 2)  8 O 2.48-2.68
Mn 0.0000 0.5000 0.2500 (multiplicity 2)  8 O 2.35-2.63
Te 0.0000 0.0000 0.5000 (multiplicity 2)  4 O 1.94
Te 0.0000 0.5000 0.7500 (multiplicity 2)  4 O 1.85
O 0.0000 0.1956 0.3197 (multiplicity 8)  1 Te 1.94
O 0.0000 0.3207 0.9288 (multiplicity 8)  1 Te 1.85

Summary:
DOS at the Fermi energy ... 5.4 states/eV/cell
Final energy ... -6.259 eV per atom
Volume ... 16.69 A^3/atom

First-principles (PBE+U) data for a relaxed AcMn2TeO8 crystal, as listed in Alexandria.

Cell: 4.5277 4.7013 7.5620 Å, 83.83 88.46 87.27°
Last column: nearest neighbours and their distance in Å.
Space group P-1 (No. 2)
Asymmetric unit:
Ac 0.0000 0.0000 0.0000 (multiplicity 1)  6 O 2.48-2.64
Mn 0.5002 0.4833 0.7008 (multiplicity 2)  4 O 1.88-1.97
Te 0.0000 0.0000 0.5000 (multiplicity 1)  6 O 1.95-1.99
O 0.1821 0.7729 0.7091 (multiplicity 2)  1 Mn 1.94, 1 Te 1.99
O 0.1911 0.8148 0.3048 (multiplicity 2)  1 Mn 1.93, 1 Te 1.95
O 0.3053 0.2813 0.4953 (multiplicity 2)  1 Te 1.96, 2 Mn 1.97-2.14
O 0.4179 0.3184 0.9334 (multiplicity 2)  1 Mn 1.88

Summary:
Final energy ... -6.781 eV per atom
Volume ... 13.32 A^3/atom

First-principles (PBE+U) data for a relaxed AcThMn2O8 crystal, as listed in Alexandria.

Cell: 5.2808 5.2808 12.0641 Å, 90.00 90.00 90.00°
Last column: nearest neighbours and their distance in Å.
Space group I-4 (No. 82)
Asymmetric unit:
Ac 0.0000 0.0000 0.0000 (multiplicity 2)  8 O 2.57-2.63
Th 0.0000 0.5000 0.7500 (multiplicity 2)  8 O 2.34-2.56
Mn 0.0000 0.0000 0.5000 (multiplicity 2)  4 O 1.73
Mn 0.0000 0.5000 0.2500 (multiplicity 2)  4 O 1.84
O 0.1240 0.2474 0.5767 (multiplicity 8)  1 Mn 1.73
O 0.1525 0.7731 0.1823 (multiplicity 8)  1 Mn 1.84

Summary:
DOS at the Fermi energy ... 9.3 states/eV/cell
Final energy ... -7.698 eV per atom
Volume ... 14.02 A^3/atom

First-principles (PBE+U) data for a relaxed AcMn2TlO8 crystal, as listed in Alexandria.

Cell: 5.3462 5.3462 7.5911 Å, 90.00 90.00 120.00°
Last column: nearest neighbours and their distance in Å.
Space group P-3 (No. 147)
Asymmetric unit:
Ac 0.0000 0.0000 0.0000 (multiplicity 1)  6 O 2.69
Mn 0.3333 0.6667 0.7669 (multiplicity 2)  4 O 1.69-1.72
Tl 0.0000 0.0000 0.5000 (multiplicity 1)  6 O 2.26
O 0.0649 0.3227 0.7134 (multiplicity 6)  1 Mn 1.72
O 0.3333 0.6667 0.9894 (multiplicity 2)  1 Mn 1.69

Summary:
Final energy ... -6.428 eV per atom
Volume ... 15.66 A^3/atom